VASP calculation (PBE+U) on a relaxed NiMoF2 crystal.

Lattice parameters (Å, degrees): 3.2783 3.2783 19.4785 90.00 90.00 120.00
Element x y z (fractional)
Ni: 0.0000 0.0000 0.0000
Ni: 0.3333 0.6667 0.6667
Ni: 0.6667 0.3333 0.3333
Mo: 0.0000 0.0000 0.5000
Mo: 0.3333 0.6667 0.1667
Mo: 0.6667 0.3333 0.8333
F: 0.0000 0.0000 0.3851
F: 0.0000 0.0000 0.6149
F: 0.3333 0.6667 0.0518
F: 0.3333 0.6667 0.2816
F: 0.6667 0.3333 0.7184
F: 0.6667 0.3333 0.9482

Properties
- Calculated density: 5.29 g/cm3
- Polymorph energy (0 for the lowest one): 0 meV/atom